# DyHoTm5Th2 (GGA-PBE, relaxed)
data_DyHoTm5Th2
_symmetry_space_group_name_H-M 'I 4/m c m'
_symmetry_Int_Tables_number 140
_symmetry_space_group_name_Hall '-I 4 2c'
_cell_length_a 8.685
_cell_length_b 8.685
_cell_length_c 15.291
_cell_angle_alpha 90.00
_cell_angle_beta 90.00
_cell_angle_gamma 90.00
loop_
_atom_site_label
_atom_site_type_symbol
_atom_site_fract_x
_atom_site_fract_y
_atom_site_fract_z
Dy1 Dy 0.000 0.500 0.250
Ho1 Ho 0.000 0.000 0.250
Tm1 Tm 0.000 0.000 0.000
Tm2 Tm 0.210 0.290 0.141
Th1 Th 0.119 0.381 0.500
# Formation energy (eV/f.u.): 3.2

***

# HgMoOs2 (GGA-PBE, relaxed)
data_HgMoOs2
_symmetry_space_group_name_H-M 'F -4 3 m'
_symmetry_Int_Tables_number 216
_symmetry_space_group_name_Hall 'F -4 2 3'
_cell_length_a 6.380
_cell_length_b 6.380
_cell_length_c 6.380
_cell_angle_alpha 90.00
_cell_angle_beta 90.00
_cell_angle_gamma 90.00
loop_
_atom_site_label
_atom_site_type_symbol
_atom_site_fract_x
_atom_site_fract_y
_atom_site_fract_z
Hg1 Hg 0.000 0.000 0.000
Mo1 Mo 0.250 0.250 0.250
Os1 Os 0.000 0.000 0.500
Os2 Os 0.250 0.250 0.750
# Formation energy (eV/f.u.): 3.7

***

# Tb6TmIn (GGA-PBE, relaxed)
data_Tb6TmIn
_symmetry_space_group_name_H-M 'P 4/m m m'
_symmetry_Int_Tables_number 123
_symmetry_space_group_name_Hall '-P 4 2'
_cell_length_a 4.907
_cell_length_b 4.907
_cell_length_c 10.015
_cell_angle_alpha 90.00
_cell_angle_beta 90.00
_cell_angle_gamma 90.00
loop_
_atom_site_label
_atom_site_type_symbol
_atom_site_fract_x
_atom_site_fract_y
_atom_site_fract_z
Tb1 Tb 0.000 0.000 0.000
Tb2 Tb 0.000 0.000 0.500
Tb3 Tb 0.000 0.500 0.245
Tm1 Tm 0.500 0.500 0.500
In1 In 0.500 0.500 0.000
# Formation energy (eV/f.u.): -0.9

***

# Ti4Ga4Rh (GGA-PBE, relaxed)
data_Ti4Ga4Rh
_symmetry_space_group_name_H-M 'P 42/n m c'
_symmetry_Int_Tables_number 137
_cell_length_a 7.539
_cell_length_b 7.539
_cell_length_c 5.768
_cell_angle_alpha 90.00
_cell_angle_beta 90.00
_cell_angle_gamma 90.00
loop_
_symmetry_equiv_pos_as_xyz
'x,y,z'
'-x,-y,-z'
'-y+1/2,x,z+1/2'
'y+1/2,-x,-z+1/2'
'-x+1/2,-y+1/2,z'
'x+1/2,y+1/2,-z'
'y,-x+1/2,z+1/2'
'-y,x+1/2,-z+1/2'
'x+1/2,-y,-z'
'-x+1/2,y,z'
'-y,-x,-z+1/2'
'y,x,z+1/2'
'-x,y+1/2,-z'
'x,-y+1/2,z'
'y+1/2,x+1/2,-z+1/2'
'-y+1/2,-x+1/2,z+1/2'
loop_
_atom_site_label
_atom_site_type_symbol
_atom_site_fract_x
_atom_site_fract_y
_atom_site_fract_z
Ti1 Ti 0.034 0.750 0.081
Ga1 Ga 0.043 0.250 0.466
Rh1 Rh 0.250 0.750 0.750
# Formation energy (eV/f.u.): -0.6

***

| no. | volume (A^3/atom) |
| --- | --- |
| 1 | 32.04 |
| 2 | 16.23 |
| 3 | 30.14 |
| 4 | 18.22 |